Entry 1:
Density functional theory data (PBE) for crystalline MnRe2As at its relaxed geometry.

The structure in CIF format:
```
data_MnRe2As
_cell_length_a 2.872
_cell_length_b 3.831
_cell_length_c 5.570
_cell_angle_alpha 90.00
_cell_angle_beta 104.79
_cell_angle_gamma 90.00
_space_group_name_H-M_alt 'P 1 m 1'
_space_group_IT_number 6
loop_
_space_group_symop_operation_xyz
'x,y,z'
'x,-y,z'
loop_
_atom_site_label
_atom_site_fract_x
_atom_site_fract_y
_atom_site_fract_z
_atom_site_occupancy
Mn1 0.000 0.000 0.000 1
Re1 0.256 0.000 0.508 1
Re2 0.640 0.500 0.287 1
As1 0.415 0.500 0.830 1
```

## Properties
Raw total energy in eV per atom: -9.5023
Magnetic moment in μB per formula unit: 2.7
V in Å³/cell: 59
E_form in meV per atom: 177



Entry 2:
Density functional theory data (PBE) for crystalline MnRe2As at its relaxed geometry.

The structure in CIF format:
```
data_MnRe2As
_cell_length_a 3.823
_cell_length_b 3.823
_cell_length_c 7.839
_cell_angle_alpha 90.00
_cell_angle_beta 90.00
_cell_angle_gamma 90.00
_space_group_name_H-M_alt 'I -4 m 2'
_space_group_IT_number 119
_space_group_name_Hall 'I -4 -2'
loop_
_atom_site_label
_atom_site_fract_x
_atom_site_fract_y
_atom_site_fract_z
_atom_site_occupancy
Mn1 0.000 0.000 0.000 1
Re1 0.000 0.000 0.500 1
Re2 0.000 0.500 0.750 1
As1 0.000 0.500 0.250 1
```

## Properties
Raw total energy in eV per atom: -9.3433
Magnetic moment in μB per formula unit: 2.7
V in Å³/cell: 115
E_form in meV per atom: 336



Entry 3:
Density functional theory data (PBE) for crystalline MnRe3As at its relaxed geometry.

The structure in CIF format:
```
data_MnRe3As
_cell_length_a 4.454
_cell_length_b 4.454
_cell_length_c 4.454
_cell_angle_alpha 90.00
_cell_angle_beta 90.00
_cell_angle_gamma 90.00
_space_group_name_H-M_alt 'P m -3 m'
_space_group_IT_number 221
_space_group_name_Hall '-P 4 2 3'
loop_
_atom_site_label
_atom_site_fract_x
_atom_site_fract_y
_atom_site_fract_z
_atom_site_occupancy
Mn1 0.000 0.000 0.000 1
Re1 0.000 0.000 0.500 1
As1 0.500 0.500 0.500 1
```

## Properties
Raw total energy in eV per atom: -8.5962
Magnetic moment in μB per formula unit: 0.0
V in Å³/cell: 88
E_form in meV per atom: 1637
Distance to the lowest polymorph of the same formula in eV/atom: 0.000